Computed, not measured: a relaxed structure of LiCdNiF2 at the PBE+U level of DFT.

Values from the calculation:
The calculated total energy comes out at -2.841 eV per atom.

abc: 4.014 4.014 4.911
angles: 90.00 90.00 90.00
Space group P4/mmm (No. 123)
Asymmetric unit:
Li 0.000 0.000 0.000 x1
Cd 0.500 0.500 0.000 x1
Ni 0.000 0.000 0.500 x1
F 0.000 0.500 0.500 x2